No. 1
Zr5Tl4Zn | PBE-GGA | relaxed

Values from the calculation:
Its magnetization is 0.00 μB per cell. The calculation puts the total DFT energy (no corrections) at -0.401 Ry per atom. For the formation enthalpy at 0 K, the calculation gives -9.8 kJ/mol of atoms.

```
data_Zr5Tl4Zn
_cell_length_a 3.195
_cell_length_b 3.195
_cell_length_c 21.615
_cell_angle_alpha 90.00
_cell_angle_beta 90.00
_cell_angle_gamma 90.00
_symmetry_space_group_name_H-M 'P 4/m m m'
_symmetry_Int_Tables_number 123
_symmetry_space_group_name_Hall '-P 4 2'
loop_
_atom_site_label
_atom_site_type_symbol
_atom_site_fract_x
_atom_site_fract_y
_atom_site_fract_z
_atom_site_occupancy
Zr1 Zr 0.000 0.000 0.000 1
Zr2 Zr 0.000 0.000 0.207 1
Zr3 Zr 0.000 0.000 0.415 1
Tl1 Tl 0.500 0.500 0.103 1
Tl2 Tl 0.500 0.500 0.309 1
Zn1 Zn 0.500 0.500 0.500 1
```


No. 2
NdSmTmZn | PBE-GGA | relaxed

Values from the calculation:
The energy above the most stable polymorph in this dataset is 0 meV/atom. Its magnetization is 0.00 μB per cell. The calculation puts the total DFT energy (no corrections) at -0.291 Ry per atom. For the formation enthalpy at 0 K, the calculation gives -15.2 kJ/mol of atoms.

```
data_NdSmTmZn
_cell_length_a 3.600
_cell_length_b 3.600
_cell_length_c 8.730
_cell_angle_alpha 90.00
_cell_angle_beta 90.00
_cell_angle_gamma 90.00
_symmetry_space_group_name_H-M 'P 4 m m'
_symmetry_Int_Tables_number 99
loop_
_symmetry_equiv_pos_as_xyz
'x,y,z'
'-y,x,z'
'-x,-y,z'
'y,-x,z'
'-x,y,z'
'y,x,z'
'x,-y,z'
'-y,-x,z'
loop_
_atom_site_label
_atom_site_type_symbol
_atom_site_fract_x
_atom_site_fract_y
_atom_site_fract_z
_atom_site_occupancy
Nd1 Nd 0.000 0.000 0.000 1
Sm1 Sm 0.500 0.500 0.697 1
Tm1 Tm 0.500 0.500 0.291 1
Zn1 Zn 0.000 0.000 0.479 1
```


No. 3
YCdRu2 | PBE-GGA | relaxed

Values from the calculation:
Its magnetization is 0.00 μB per cell. The calculation puts the total DFT energy (no corrections) at -0.470 Ry per atom. For the formation enthalpy at 0 K, the calculation gives 8.9 kJ/mol of atoms.

```
data_YCdRu2
_cell_length_a 3.254
_cell_length_b 4.386
_cell_length_c 5.651
_cell_angle_alpha 90.00
_cell_angle_beta 106.65
_cell_angle_gamma 90.00
_symmetry_space_group_name_H-M 'P 1 m 1'
_symmetry_Int_Tables_number 6
loop_
_symmetry_equiv_pos_as_xyz
'x,y,z'
'x,-y,z'
loop_
_atom_site_label
_atom_site_type_symbol
_atom_site_fract_x
_atom_site_fract_y
_atom_site_fract_z
_atom_site_occupancy
Y1 Y 0.000 0.000 0.000 1
Cd1 Cd 0.666 0.500 0.327 1
Ru1 Ru 0.279 0.000 0.552 1
Ru2 Ru 0.384 0.500 0.768 1
```


No. 4
Y3CoP | PBE-GGA | relaxed

Values from the calculation:
The energy above the most stable polymorph in this dataset is 0 meV/atom. Its magnetization is 0.00 μB per cell. The calculation puts the total DFT energy (no corrections) at -0.479 Ry per atom. For the formation enthalpy at 0 K, the calculation gives -13.2 kJ/mol of atoms.

```
data_Y3CoP
_cell_length_a 5.055
_cell_length_b 5.055
_cell_length_c 5.055
_cell_angle_alpha 90.00
_cell_angle_beta 90.00
_cell_angle_gamma 90.00
_symmetry_space_group_name_H-M 'P m -3 m'
_symmetry_Int_Tables_number 221
_symmetry_space_group_name_Hall '-P 4 2 3'
loop_
_atom_site_label
_atom_site_type_symbol
_atom_site_fract_x
_atom_site_fract_y
_atom_site_fract_z
_atom_site_occupancy
Y1 Y 0.000 0.000 0.500 1
Co1 Co 0.000 0.000 0.000 1
P1 P 0.500 0.500 0.500 1
```


No. 5
NaTi2S2 | PBE-GGA | relaxed

Values from the calculation:
Its magnetization is 5.46 μB per cell. Its formation energy (no corrections) is -0.6765 eV per atom. The calculation puts the total DFT energy (no corrections) at -0.423 Ry per atom.

```
data_NaTi2S2
_cell_length_a 4.721
_cell_length_b 4.721
_cell_length_c 8.615
_cell_angle_alpha 90.00
_cell_angle_beta 90.00
_cell_angle_gamma 90.00
_symmetry_space_group_name_H-M 'I 4/m m m'
_symmetry_Int_Tables_number 139
_symmetry_space_group_name_Hall '-I 4 2'
loop_
_atom_site_label
_atom_site_type_symbol
_atom_site_fract_x
_atom_site_fract_y
_atom_site_fract_z
_atom_site_occupancy
Na1 Na 0.000 0.000 0.000 1
Ti1 Ti 0.000 0.000 0.348 1
S1 S 0.000 0.500 0.250 1
```


No. 6
Li2InMo | PBE-GGA | relaxed

Values from the calculation:
Its magnetization is 0.75 μB per cell. The calculation puts the total DFT energy (no corrections) at -0.301 Ry per atom. For the formation enthalpy at 0 K, the calculation gives 25.0 kJ/mol of atoms.

```
data_Li2InMo
_cell_length_a 2.956
_cell_length_b 4.848
_cell_length_c 4.856
_cell_angle_alpha 90.00
_cell_angle_beta 90.00
_cell_angle_gamma 90.00
_symmetry_space_group_name_H-M 'P m m m'
_symmetry_Int_Tables_number 47
loop_
_symmetry_equiv_pos_as_xyz
'x,y,z'
'-x,-y,-z'
'-x,-y,z'
'x,y,-z'
'x,-y,-z'
'-x,y,z'
'-x,y,-z'
'x,-y,z'
loop_
_atom_site_label
_atom_site_type_symbol
_atom_site_fract_x
_atom_site_fract_y
_atom_site_fract_z
_atom_site_occupancy
Li1 Li 0.000 0.000 0.000 1
Li2 Li 0.500 0.500 0.000 1
In1 In 0.000 0.500 0.500 1
Mo1 Mo 0.500 0.000 0.500 1
```


No. 7
Sr3Er2PaP6 | PBE-GGA | relaxed

Values from the calculation:
Its magnetization is 0.00 μB per cell. The calculation puts the total DFT energy (no corrections) at -0.437 Ry per atom. For the formation enthalpy at 0 K, the calculation gives -122.2 kJ/mol of atoms.

```
data_Sr3Er2PaP6
_cell_length_a 7.155
_cell_length_b 12.402
_cell_length_c 7.339
_cell_angle_alpha 90.00
_cell_angle_beta 108.99
_cell_angle_gamma 90.00
_symmetry_space_group_name_H-M 'C 1 2/m 1'
_symmetry_Int_Tables_number 12
loop_
_symmetry_equiv_pos_as_xyz
'x,y,z'
'-x,-y,-z'
'-x,y,-z'
'x,-y,z'
'x+1/2,y+1/2,z'
'-x+1/2,-y+1/2,-z'
'-x+1/2,y+1/2,-z'
'x+1/2,-y+1/2,z'
loop_
_atom_site_label
_atom_site_type_symbol
_atom_site_fract_x
_atom_site_fract_y
_atom_site_fract_z
_atom_site_occupancy
Sr1 Sr 0.000 0.000 0.000 1
Sr2 Sr 0.000 0.331 0.000 1
Er1 Er 0.000 0.167 0.500 1
Pa1 Pa 0.000 0.500 0.500 1
P1 P 0.235 0.337 0.717 1
P2 P 0.246 0.000 0.717 1
```


No. 8
TaCdTc2 | PBE-GGA | relaxed

Values from the calculation:
Its magnetization is 0.01 μB per cell. The calculation puts the total DFT energy (no corrections) at -0.582 Ry per atom. For the formation enthalpy at 0 K, the calculation gives 43.4 kJ/mol of atoms.

```
data_TaCdTc2
_cell_length_a 6.440
_cell_length_b 6.440
_cell_length_c 6.440
_cell_angle_alpha 90.00
_cell_angle_beta 90.00
_cell_angle_gamma 90.00
_symmetry_space_group_name_H-M 'F -4 3 m'
_symmetry_Int_Tables_number 216
_symmetry_space_group_name_Hall 'F -4 2 3'
loop_
_atom_site_label
_atom_site_type_symbol
_atom_site_fract_x
_atom_site_fract_y
_atom_site_fract_z
_atom_site_occupancy
Ta1 Ta 0.000 0.000 0.000 1
Cd1 Cd 0.250 0.250 0.250 1
Tc1 Tc 0.000 0.000 0.500 1
Tc2 Tc 0.250 0.250 0.750 1
```


No. 9
BeRuF2 | PBE-GGA | relaxed

Values from the calculation:
The energy above the most stable polymorph in this dataset is 0 meV/atom. Its magnetization is 3.88 μB per cell. Its formation energy (no corrections) is -1.6482 eV per atom. The calculation puts the total DFT energy (no corrections) at -0.429 Ry per atom.

```
data_BeRuF2
_cell_length_a 2.5839
_cell_length_b 2.5839
_cell_length_c 27.9902
_cell_angle_alpha 90.00
_cell_angle_beta 90.00
_cell_angle_gamma 120.00
_symmetry_space_group_name_H-M 'R -3 m'
_symmetry_Int_Tables_number 166
_symmetry_space_group_name_Hall '-R 3 2"'
loop_
_atom_site_label
_atom_site_type_symbol
_atom_site_fract_x
_atom_site_fract_y
_atom_site_fract_z
_atom_site_occupancy
Be1 Be 0.0000 0.0000 0.0000 1
Ru1 Ru 0.0000 0.0000 0.5000 1
F1 F 0.0000 0.0000 0.3659 1
```


No. 10
PmDyPu2 | PBE-GGA | relaxed

Values from the calculation:
The energy above the most stable polymorph in this dataset is 0 meV/atom. Its magnetization is 12.77 μB per cell. The calculation puts the total DFT energy (no corrections) at -0.684 Ry per atom. For the formation enthalpy at 0 K, the calculation gives 19.1 kJ/mol of atoms.

```
data_PmDyPu2
_cell_length_a 3.434
_cell_length_b 3.434
_cell_length_c 10.125
_cell_angle_alpha 90.00
_cell_angle_beta 90.00
_cell_angle_gamma 90.00
_symmetry_space_group_name_H-M 'P 4/m m m'
_symmetry_Int_Tables_number 123
_symmetry_space_group_name_Hall '-P 4 2'
loop_
_atom_site_label
_atom_site_type_symbol
_atom_site_fract_x
_atom_site_fract_y
_atom_site_fract_z
_atom_site_occupancy
Pm1 Pm 0.000 0.000 0.000 1
Dy1 Dy 0.000 0.000 0.500 1
Pu1 Pu 0.500 0.500 0.254 1
```


No. 11
Ga2SbN | PBE-GGA | relaxed

Values from the calculation:
The energy above the most stable polymorph in this dataset is 1039 meV/atom. Its magnetization is 5.67 μB per cell. Its formation energy (no corrections) is 1.0103 eV per atom. The calculation puts the total DFT energy (no corrections) at -0.266 Ry per atom.

```
data_Ga2SbN
_cell_length_a 6.638
_cell_length_b 6.638
_cell_length_c 6.638
_cell_angle_alpha 90.00
_cell_angle_beta 90.00
_cell_angle_gamma 90.00
_symmetry_space_group_name_H-M 'F m -3 m'
_symmetry_Int_Tables_number 225
_symmetry_space_group_name_Hall '-F 4 2 3'
loop_
_atom_site_label
_atom_site_type_symbol
_atom_site_fract_x
_atom_site_fract_y
_atom_site_fract_z
_atom_site_occupancy
Ga1 Ga 0.250 0.250 0.250 1
Sb1 Sb 0.000 0.000 0.000 1
N1 N 0.000 0.000 0.500 1
```


No. 12
DyMnZn | PBE-GGA | relaxed

Values from the calculation:
Its magnetization is 12.08 μB per cell. The calculation puts the total DFT energy (no corrections) at -0.375 Ry per atom. For the formation enthalpy at 0 K, the calculation gives -8.2 kJ/mol of atoms.

```
data_DyMnZn
_cell_length_a 7.206
_cell_length_b 4.426
_cell_length_c 7.413
_cell_angle_alpha 90.00
_cell_angle_beta 90.00
_cell_angle_gamma 90.00
_symmetry_space_group_name_H-M 'P n m a'
_symmetry_Int_Tables_number 62
loop_
_symmetry_equiv_pos_as_xyz
'x,y,z'
'-x,-y,-z'
'-x+1/2,-y,z+1/2'
'x+1/2,y,-z+1/2'
'x+1/2,-y+1/2,-z+1/2'
'-x+1/2,y+1/2,z+1/2'
'-x,y+1/2,-z'
'x,-y+1/2,z'
loop_
_atom_site_label
_atom_site_type_symbol
_atom_site_fract_x
_atom_site_fract_y
_atom_site_fract_z
_atom_site_occupancy
Dy1 Dy 0.005 0.250 0.191 1
Mn1 Mn 0.168 0.250 0.577 1
Zn1 Zn 0.198 0.750 0.404 1
```


Result set for volume: 22.069 28.291 19.319 25.830 19.200 17.395 25.658 16.692 13.487 29.845 18.282 19.702 Å³/atom, one per record in the order listed.